Record 1
# Th2Ga4Cu3Ru

An optimized crystal structure of Th2Ga4Cu3Ru (PBE-GGA, Alexandria).

Summary:
crystal system = tetragonal
spin magnetization = 0.0 μB/cell
formation energy = -430 meV/atom

Cell: 4.228 4.228 10.133 Å, 90.00 90.00 90.00°
Fractional positions:
Cu 0.000 0.000 0.500
Cu 0.000 0.500 0.129
Ga 0.000 0.500 0.367
Ga 0.000 0.000 0.000
Th 0.000 0.500 0.745
Cu 0.500 0.000 0.871
Ga 0.500 0.000 0.633
Th 0.500 0.000 0.255
Ru 0.500 0.500 0.500
Ga 0.500 0.500 0.000


Record 2
# K2ReAg

An optimized crystal structure of K2ReAg (PBE-GGA, Alexandria).

Summary:
crystal system = orthorhombic
spin magnetization = 3.6 μB/cell
formation energy = 1327 meV/atom

Cell: 6.214 6.214 6.214 Å, 137.50 124.01 72.74°
Each line ends with the local moment (μB).
Fractional positions:
Re 0.444 0.444 0.000  2.89
Ag 0.301 0.801 0.500  0.11
K 0.728 0.228 0.500  0.01
K 0.026 0.026 0.000  0.00


Record 3
# La2Pd15Au2

An optimized crystal structure of La2Pd15Au2 (PBE-GGA, Alexandria).

Summary:
crystal system = trigonal
spin magnetization = 0.0 μB/cell
formation energy = -361 meV/atom

Cell: 7.031 7.031 7.031 Å, 82.26 82.26 82.26°
Fractional positions:
Pd 0.159 0.652 0.652
Pd 0.000 0.305 0.695
Pd 0.305 0.695 0.000
Pd 0.841 0.348 0.348
Pd 0.695 0.305 0.000
La 0.660 0.660 0.660
Pd 0.652 0.159 0.652
Au 0.101 0.101 0.101
Pd 0.348 0.348 0.841
Pd 0.000 0.695 0.305
Pd 0.348 0.841 0.348
Pd 0.000 0.500 0.000
Pd 0.305 0.000 0.695
La 0.340 0.340 0.340
Au 0.899 0.899 0.899
Pd 0.695 0.000 0.305
Pd 0.000 0.000 0.500
Pd 0.500 0.000 0.000
Pd 0.652 0.652 0.159


Record 4
# CeHfSc

An optimized crystal structure of CeHfSc (PBE-GGA, Alexandria).

Summary:
crystal system = trigonal
spin magnetization = 0.0 μB/cell
formation energy = 127 meV/atom

Cell: 3.227 5.218 5.218 Å, 120.00 90.00 90.00°
Fractional positions:
Sc 0.166 0.000 0.000
Hf 0.168 0.333 0.667
Ce 0.667 0.667 0.333